PmFe2Ge2C: optimized geometry, GGA-PBE.

Lattice parameters (Å, degrees): 3.9693 3.9693 5.4605 90.00 90.00 90.00
Closest atoms and distances in Å follow each position.
Fractional coordinates of all 6 atoms:
Pm 0.0000 0.0000 0.5000  2 C 2.73
Fe 0.5000 0.0000 0.0000  2 C 1.98
Fe 0.0000 0.5000 0.0000  2 C 1.98
Ge 0.5000 0.5000 0.7321  4 Fe 2.47, 1 Ge 2.53
Ge 0.5000 0.5000 0.2679  4 Fe 2.47, 1 Ge 2.53
C 0.0000 0.0000 0.0000  4 Fe 1.98

Computed properties:
E_form = -0.28 eV/atom
E = -6.96 eV per atom


Pm2Fe2Ge2C: optimized geometry, GGA-PBE.

Lattice parameters (Å, degrees): 4.0481 5.8079 5.9297 73.20 70.04 69.60
Closest atoms and distances in Å follow each position.
Fractional coordinates of all 7 atoms:
Pm 0.5562 0.1792 0.7085  2 C 2.66
Pm 0.4438 0.8208 0.2915  2 C 2.66
Fe 0.1927 0.7001 0.9145  1 C 1.79
Fe 0.8073 0.2999 0.0855  1 C 1.79
Ge 0.1712 0.3819 0.2758  3 Fe 2.37-2.39
Ge 0.8288 0.6181 0.7242  3 Fe 2.37-2.39
C 0.0000 0.0000 0.0000  2 Fe 1.79

Computed properties:
E_form = -0.58 eV/atom
E = -6.99 eV per atom


Pu2Fe5Ge3C2: optimized geometry, GGA-PBE.

Lattice parameters (Å, degrees): 3.9222 3.9222 11.2160 100.07 100.07 90.00
Closest atoms and distances in Å follow each position.
Fractional coordinates of all 12 atoms:
Pu 0.6967 0.6967 0.3933  1 C 2.35
Pu 0.3033 0.3033 0.6067  1 C 2.35
Fe 0.5791 0.0791 0.1583  2 C 1.97
Fe 0.4209 0.9209 0.8417  2 C 1.97
Fe 0.0791 0.5791 0.1583  2 C 1.97
Fe 0.9209 0.4209 0.8417  2 C 1.97
Fe 0.5000 0.5000 0.0000  2 C 1.92
Ge 0.1541 0.1541 0.3082  4 Fe 2.55
Ge 0.8459 0.8459 0.6918  4 Fe 2.55
Ge 0.0000 0.0000 0.0000  12 Fe 2.61-2.77
C 0.4116 0.4116 0.8231  5 Fe 1.92-1.97
C 0.5884 0.5884 0.1769  5 Fe 1.92-1.97

Computed properties:
E_form = -0.16 eV/atom
E = -8.77 eV per atom


Fe2GeRuC: optimized geometry, GGA-PBE.

Lattice parameters (Å, degrees): 3.7652 3.7652 4.0059 90.00 90.00 90.00
Closest atoms and distances in Å follow each position.
Fractional coordinates of all 5 atoms:
C 0.0000 0.0000 0.0000  4 Fe 1.88, 2 Ru 2.00
Ru 0.0000 0.0000 0.5000  2 C 2.00
Ge 0.5000 0.5000 0.5000  4 Ru 2.66, 8 Fe 2.75
Fe 0.0000 0.5000 0.0000  2 C 1.88
Fe 0.5000 0.0000 0.0000  2 C 1.88

Computed properties:
E_form = 0.10 eV/atom
E = -7.91 eV per atom


Computed Fermi-level density of states (states/eV/f.u.) in order:
3.72 3.96 15.78 3.77